[1]
First-principles (GGA-PBE) data for PrTh3N4 after structural relaxation, as listed in the Alexandria database.

Summary:
theoretical density	10625	kg/m³
E_form (uncorrected)	-1.527	eV/atom
space group	Cmmm, No. 65
E above lowest polymorph	0	meV per atom
DOS(E_F)	5.90	states/eV/cell

a = 7.3450 Å, b = 10.3694 Å, c = 3.6652 Å
α = 90.00°, β = 90.00°, γ = 90.00°
Atoms (fractional coordinates):
Pr 0.0000 0.0000 0.0000
Pr 0.5000 0.5000 0.0000
Th 0.0000 0.5000 0.0000
Th 0.2500 0.2500 0.5000
Th 0.2500 0.7500 0.5000
Th 0.5000 0.0000 0.0000
Th 0.7500 0.2500 0.5000
Th 0.7500 0.7500 0.5000
N 0.0000 0.2562 0.0000
N 0.0000 0.7438 0.0000
N 0.2362 0.5000 0.5000
N 0.2638 0.0000 0.5000
N 0.5000 0.2438 0.0000
N 0.5000 0.7562 0.0000
N 0.7362 0.0000 0.5000
N 0.7638 0.5000 0.5000

=====

[2]
First-principles (GGA-PBE) data for PrTh6N8 after structural relaxation, as listed in the Alexandria database.

Summary:
theoretical density	9997	kg/m³
E_form (uncorrected)	-1.349	eV/atom
space group	Fm-3m, No. 225
DOS(E_F)	4.71	states/eV/cell

a = 7.2841 Å, b = 7.2841 Å, c = 7.2841 Å
α = 60.00°, β = 60.00°, γ = 60.00°
Atoms (fractional coordinates):
Pr 0.0000 0.0000 0.0000
Th 0.0000 0.0000 0.5000
Th 0.0000 0.5000 0.0000
Th 0.0000 0.5000 0.5000
Th 0.5000 0.0000 0.0000
Th 0.5000 0.0000 0.5000
Th 0.5000 0.5000 0.0000
N 0.2396 0.2396 0.7604
N 0.2396 0.7604 0.2396
N 0.2396 0.7604 0.7604
N 0.2500 0.2500 0.2500
N 0.7500 0.7500 0.7500
N 0.7604 0.2396 0.2396
N 0.7604 0.2396 0.7604
N 0.7604 0.7604 0.2396

=====

[3]
First-principles (GGA-PBE) data for PrTh2N3 after structural relaxation, as listed in the Alexandria database.

Summary:
theoretical density	9511	kg/m³
E_form (uncorrected)	-1.280	eV/atom
space group	P6_3/mcm, No. 193
E above lowest polymorph	241	meV per atom
DOS(E_F)	4.06	states/eV/cell

a = 6.1715 Å, b = 6.1715 Å, c = 6.8493 Å
α = 90.00°, β = 90.00°, γ = 120.00°
Atoms (fractional coordinates):
Pr 0.0000 0.0000 0.2500
Pr 0.0000 0.0000 0.7500
Th 0.3333 0.6667 0.0000
Th 0.3333 0.6667 0.5000
Th 0.6667 0.3333 0.0000
Th 0.6667 0.3333 0.5000
N 0.0000 0.4399 0.2500
N 0.0000 0.5601 0.7500
N 0.4399 0.0000 0.2500
N 0.4399 0.4399 0.7500
N 0.5601 0.0000 0.7500
N 0.5601 0.5601 0.2500

=====

[4]
First-principles (GGA-PBE) data for PrThN after structural relaxation, as listed in the Alexandria database.

Summary:
theoretical density	10103	kg/m³
E_form (uncorrected)	-0.147	eV/atom
space group	F-43m, No. 216
E above lowest polymorph	666	meV per atom
DOS(E_F)	12.00	states/eV/cell

a = 6.3363 Å, b = 6.3363 Å, c = 6.3363 Å
α = 90.00°, β = 90.00°, γ = 90.00°
Atoms (fractional coordinates):
Pr 0.0000 0.0000 0.0000
Pr 0.0000 0.5000 0.5000
Pr 0.5000 0.0000 0.5000
Pr 0.5000 0.5000 0.0000
Th 0.0000 0.0000 0.5000
Th 0.0000 0.5000 0.0000
Th 0.5000 0.0000 0.0000
Th 0.5000 0.5000 0.5000
N 0.2500 0.2500 0.7500
N 0.2500 0.7500 0.2500
N 0.7500 0.2500 0.2500
N 0.7500 0.7500 0.7500

=====

[5]
First-principles (GGA-PBE) data for Pr4Th3TiN8 after structural relaxation, as listed in the Alexandria database.

Summary:
theoretical density	8914	kg/m³
E_form (uncorrected)	-1.383	eV/atom
space group	R-3m, No. 166
DOS(E_F)	5.25	states/eV/cell

a = 7.2275 Å, b = 7.2275 Å, c = 7.2275 Å
α = 59.58°, β = 59.58°, γ = 59.58°
Atoms (fractional coordinates):
Pr 0.0000 0.0000 0.0000
Pr 0.0000 0.5000 0.5000
Pr 0.5000 0.0000 0.5000
Pr 0.5000 0.5000 0.0000
Th 0.0000 0.0000 0.5000
Th 0.0000 0.5000 0.0000
Th 0.5000 0.0000 0.0000
Ti 0.5000 0.5000 0.5000
N 0.2445 0.2445 0.2445
N 0.2599 0.7290 0.7290
N 0.2710 0.2710 0.7401
N 0.2710 0.7401 0.2710
N 0.7290 0.2599 0.7290
N 0.7290 0.7290 0.2599
N 0.7401 0.2710 0.2710
N 0.7555 0.7555 0.7555

=====

[6]
First-principles (GGA-PBE) data for PrThTiN3 after structural relaxation, as listed in the Alexandria database.

Summary:
theoretical density	7314	kg/m³
E_form (uncorrected)	-1.277	eV/atom
space group	P2_1/m, No. 11
DOS(E_F)	7.33	states/eV/cell

a = 7.4945 Å, b = 3.6314 Å, c = 7.7528 Å
α = 90.00°, β = 95.12°, γ = 90.00°
Atoms (fractional coordinates):
Pr 0.1546 0.2500 0.1608
Pr 0.8454 0.7500 0.8392
Th 0.3730 0.7500 0.8230
Th 0.6270 0.2500 0.1770
Ti 0.1008 0.2500 0.5890
Ti 0.8992 0.7500 0.4110
N 0.1258 0.2500 0.8442
N 0.1620 0.7500 0.5078
N 0.3993 0.7500 0.1246
N 0.6007 0.2500 0.8754
N 0.8380 0.2500 0.4922
N 0.8742 0.7500 0.1558